Record 1
KFeCu2I6 | GGA-PBE | optimized geometry

Cell: 10.257 10.257 8.389 Å, 107.93 107.93 84.57°
Atoms (fractional coordinates):
K 0.181 0.819 0.750
K 0.819 0.181 0.250
Fe 0.181 0.819 0.250
Fe 0.819 0.181 0.750
Cu 0.265 0.361 0.807
Cu 0.361 0.265 0.307
Cu 0.639 0.735 0.693
Cu 0.735 0.639 0.193
I 0.044 0.187 0.673
I 0.163 0.601 0.989
I 0.187 0.044 0.173
I 0.264 0.432 0.539
I 0.399 0.837 0.511
I 0.432 0.264 0.039
I 0.568 0.736 0.961
I 0.601 0.163 0.489
I 0.736 0.568 0.461
I 0.813 0.956 0.827
I 0.837 0.399 0.011
I 0.956 0.813 0.327

Values from the calculation:
Energy relative to the elements, uncorrected = -385.7 meV per atom

---

Record 2
LaPm7Sc4 | GGA-PBE | optimized geometry

Cell: 6.163 7.115 8.738 Å, 89.91 76.40 89.94°
Atoms (fractional coordinates):
La 0.000 0.000 0.000
Pm 0.000 0.500 0.000
Pm 0.226 0.001 0.338
Pm 0.288 0.742 0.659
Pm 0.499 0.258 0.991
Pm 0.501 0.742 0.009
Pm 0.712 0.258 0.341
Pm 0.774 0.999 0.662
Sc 0.212 0.499 0.341
Sc 0.272 0.261 0.662
Sc 0.728 0.739 0.338
Sc 0.788 0.501 0.659

Values from the calculation:
Formation energy from the elements = 37 meV/atom

---

Record 3
ZrReTe2 | GGA-PBE | optimized geometry

Cell: 5.541 5.541 3.669 Å, 105.83 105.83 114.62°
Atoms (fractional coordinates):
Zr 0.000 0.000 0.000
Re 0.500 0.500 0.000
Te 0.000 0.500 0.500
Te 0.500 0.000 0.500

Values from the calculation:
Energy relative to the elements, uncorrected = 488.5 meV per atom

---

Record 4
RbCNF2 | GGA-PBE | optimized geometry

Cell: 4.950 4.950 2.571 Å, 90.00 90.00 90.00°
Atoms (fractional coordinates):
Rb 0.000 0.000 0.000
C 0.500 0.500 0.500
N 0.500 0.500 0.000
F 0.000 0.500 0.500
F 0.500 0.000 0.500

Values from the calculation:
Energy relative to the elements, uncorrected = -560.1 meV per atom

---

Record 5
Ca2TbNpAs4 | GGA-PBE | optimized geometry

Cell: 7.201 4.192 7.241 Å, 90.00 109.28 90.00°
Atoms (fractional coordinates):
Ca 0.000 0.000 0.000
Ca 0.500 0.500 0.000
Tb 0.000 0.500 0.500
Np 0.500 0.000 0.500
As 0.255 0.000 0.732
As 0.264 0.500 0.271
As 0.736 0.500 0.729
As 0.745 0.000 0.268

Values from the calculation:
Formation energy from the elements = -1093 meV/atom

---

Record 6
Ir2W | GGA-PBE | optimized geometry

Cell: 4.655 4.655 5.305 Å, 90.00 90.00 125.63°
Atoms (fractional coordinates):
Ir 0.035 0.965 0.500
Ir 0.376 0.624 0.291
Ir 0.624 0.376 0.791
Ir 0.965 0.035 0.000
W 0.309 0.691 0.775
W 0.691 0.309 0.275

Values from the calculation:
Formation energy from the elements = -79 meV/atom

---

Record 7
HoSc2Tl | GGA-PBE | optimized geometry

Cell: 5.196 5.196 5.196 Å, 60.00 60.00 60.00°
Atoms (fractional coordinates):
Ho 0.000 0.000 0.000
Sc 0.250 0.250 0.250
Sc 0.750 0.750 0.750
Tl 0.500 0.500 0.500

Values from the calculation:
Formation energy from the elements = -22 meV/atom

---

Record 8
Pu2GePRh6 | GGA-PBE | optimized geometry

Cell: 5.578 8.555 7.665 Å, 90.00 90.00 90.00°
Atoms (fractional coordinates):
Pu 0.250 0.017 0.226
Pu 0.250 0.483 0.226
Pu 0.750 0.517 0.774
Pu 0.750 0.983 0.774
Ge 0.250 0.750 0.778
Ge 0.750 0.250 0.222
P 0.250 0.250 0.734
P 0.750 0.750 0.266
Rh 0.006 0.750 0.041
Rh 0.007 0.750 0.499
Rh 0.250 0.000 0.611
Rh 0.250 0.500 0.611
Rh 0.493 0.750 0.499
Rh 0.494 0.750 0.041
Rh 0.506 0.250 0.959
Rh 0.507 0.250 0.501
Rh 0.750 0.000 0.389
Rh 0.750 0.500 0.389
Rh 0.993 0.250 0.501
Rh 0.994 0.250 0.959

Values from the calculation:
Formation energy from the elements = -483 meV/atom